Record 1
DFT (GGA-PBE) results for crystalline NdTmThMg at its relaxed geometry.

It has space group F-43m (No. 216), with a = 7.8522 Å, b = 7.8522 Å, c = 7.8522 Å, α = 90.00°, β = 90.00° and γ = 90.00°. The asymmetric unit holds Nd at (0.0000, 0.0000, 0.0000), Tm at (0.2500, 0.2500, 0.7500), Th at (0.0000, 0.0000, 0.5000) and Mg at (0.2500, 0.2500, 0.2500).

The energy above the most stable polymorph in this dataset is 126.7 meV per atom. As for the size of the total moment: 0.001 μB/f.u. The uncorrected energy comes out at -0.164 hartree per atom.

Record 2
DFT (GGA-PBE) results for crystalline RbLi2TaH at its relaxed geometry.

It has space group P4/mmm (No. 123), with a = 5.5035 Å, b = 5.5035 Å, c = 3.5290 Å, α = 90.00°, β = 90.00° and γ = 90.00°. The asymmetric unit holds Rb at (0.0000, 0.0000, 0.0000), Li at (0.0000, 0.5000, 0.5000), Ta at (0.5000, 0.5000, 0.0000) and H at (0.5000, 0.5000, 0.5000).

As for the size of the total moment: 0.790 μB/f.u. The uncorrected energy comes out at -0.120 hartree per atom.